No. 1
MnGaSN2 | GGA-PBE | optimized geometry

abc: 3.724 3.724 5.588
angles: 90.00 90.00 90.00
Space group P4/mmm (No. 123)
Symmetry-distinct sites (fractional):
Mn  0.000  0.000  0.000 [1 per cell]
Ga  0.500  0.500  0.500 [1 per cell]
S  0.500  0.500  0.000 [1 per cell]
N  0.000  0.500  0.500 [2 per cell]

Calculated volume, Å³/atom: 15.50
E above lowest polymorph, eV per atom: 0.645
Energy relative to the elements, uncorrected, eV per atom: 1.067

***

No. 2
BaBe2P | GGA-PBE | optimized geometry

abc: 6.936 6.936 6.936
angles: 90.00 90.00 90.00
Space group F-43m (No. 216)
Symmetry-distinct sites (fractional):
Ba  0.000  0.000  0.000 [4 per cell]
Be  0.000  0.000  0.500 [4 per cell]
Be  0.250  0.250  0.750 [4 per cell]
P  0.250  0.250  0.250 [4 per cell]

Calculated volume, Å³/atom: 20.86
Formation energy from the elements, eV per atom: 0.705

***

No. 3
LiGdYRu | GGA-PBE | optimized geometry

abc: 6.988 6.988 6.988
angles: 90.00 90.00 90.00
Space group F-43m (No. 216)
Symmetry-distinct sites (fractional):
Li  0.000  0.000  0.000 [4 per cell]
Gd  0.250  0.250  0.750 [4 per cell]
Y  0.250  0.250  0.250 [4 per cell]
Ru  0.000  0.000  0.500 [4 per cell]

Calculated volume, Å³/atom: 21.33
Formation energy from the elements, eV per atom: -0.247

***

No. 4
PuIF | GGA-PBE | optimized geometry

abc: 4.1989 4.1989 4.9480
angles: 90.00 90.00 120.00
Space group P-6m2 (No. 187)
Symmetry-distinct sites (fractional):
Pu  0.0000  0.0000  0.0000 [1 per cell]
I  0.6667  0.3333  0.5000 [1 per cell]
F  0.3333  0.6667  0.0000 [1 per cell]

Calculated volume, Å³/atom: 25.18
Energy relative to the elements, uncorrected, eV per atom: -2.095

***

No. 5
FeSb | GGA-PBE | optimized geometry

abc: 5.311 5.311 5.425
angles: 90.00 90.00 90.00
Space group P4_2/mnm (No. 136)
Symmetry-distinct sites (fractional):
Fe  0.214  0.214  0.000 [4 per cell]
Sb  0.220  0.220  0.500 [4 per cell]

Calculated volume, Å³/atom: 19.13
Energy relative to the elements, uncorrected, eV per atom: 0.429

***

No. 6
NbHg2I2 | GGA-PBE | optimized geometry

abc: 6.346 6.346 8.451
angles: 90.00 90.00 90.00
Space group I4/mmm (No. 139)
Symmetry-distinct sites (fractional):
Nb  0.000  0.000  0.000 [2 per cell]
Hg  0.000  0.000  0.340 [4 per cell]
I  0.000  0.500  0.250 [4 per cell]

Calculated volume, Å³/atom: 34.03
E above lowest polymorph, eV per atom: 0.065
Energy relative to the elements, uncorrected, eV per atom: 0.663

***

No. 7
GdZnPd | GGA-PBE | optimized geometry

abc: 7.3420 7.3420 3.9175
angles: 90.00 90.00 120.00
Space group P-62m (No. 189)
Symmetry-distinct sites (fractional):
Gd  0.0000  0.4065  0.0000 [3 per cell]
Zn  0.0000  0.7521  0.5000 [3 per cell]
Pd  0.0000  0.0000  0.0000 [1 per cell]
Pd  0.3333  0.6667  0.5000 [2 per cell]

Calculated volume, Å³/atom: 20.32
E above lowest polymorph, eV per atom: 0.000
Formation energy from the elements, eV per atom: -0.726

***

No. 8
La2TbNd6Mg | GGA-PBE | optimized geometry

abc: 10.589 13.824 9.589
angles: 90.00 100.18 90.00
Space group C2/c (No. 15)
Symmetry-distinct sites (fractional):
La  0.235  0.031  0.091 [8 per cell]
Tb  0.000  0.069  0.750 [4 per cell]
Nd  0.049  0.379  0.595 [8 per cell]
Nd  0.092  0.171  0.425 [8 per cell]
Nd  0.250  0.217  0.825 [8 per cell]
Mg  0.000  0.400  0.250 [4 per cell]

Calculated volume, Å³/atom: 34.54
Formation energy from the elements, eV per atom: 0.107

***

no.,E_tot (eV/atom)
1,-5.5277
2,-2.9914
3,-8.1809
4,-8.0123
5,-5.8637
6,-2.0913
7,-7.5756
8,-4.3617